[1]
The following is a DFT calculation (SCAN) of Bi2WO6 at its PBEsol-relaxed geometry.

Output
- Uncorrected formation energy: -1.726 eV per atom
- Space group: Aea2
- Polymorph energy (0 for the lowest one): 0.000 eV per atom

a b c (Å): 5.468 5.464 8.692
angles (deg): 108.32 90.00 90.00
Sites, in units of the cell vectors:
Bi  0.978  0.292  0.654
Bi  0.022  0.638  0.346
Bi  0.522  0.792  0.654
Bi  0.478  0.138  0.346
W  0.500  0.495  0.000
W  0.000  0.995  0.000
O  0.582  0.455  0.784
O  0.418  0.672  0.216
O  0.918  0.955  0.784
O  0.082  0.172  0.216
O  0.755  0.802  0.043
O  0.245  0.758  0.957
O  0.241  0.991  0.503
O  0.759  0.487  0.497
O  0.259  0.491  0.503
O  0.741  0.987  0.497
O  0.255  0.258  0.957
O  0.745  0.302  0.043

***

[2]
The following is a DFT calculation (SCAN) of MnSi3Bi at its PBEsol-relaxed geometry.

Output
- Uncorrected formation energy: 1.823 eV per atom
- Space group: Pm-3m

a b c (Å): 5.227 5.227 5.227
angles (deg): 90.00 90.00 90.00
Sites, in units of the cell vectors:
Si  0.000  0.500  0.000
Si  0.000  0.000  0.500
Si  0.500  0.000  0.000
Mn  0.500  0.500  0.500
Bi  0.000  0.000  0.000

***

[3]
The following is a DFT calculation (SCAN) of GdSi at its PBEsol-relaxed geometry.

Output
- Uncorrected formation energy: -0.798 eV per atom
- Space group: Pnma

a b c (Å): 3.829 5.688 7.890
angles (deg): 90.00 90.00 90.00
Sites, in units of the cell vectors:
Gd  0.250  0.115  0.679
Gd  0.750  0.615  0.821
Gd  0.750  0.885  0.321
Gd  0.250  0.385  0.179
Si  0.250  0.627  0.536
Si  0.250  0.873  0.036
Si  0.750  0.373  0.464
Si  0.750  0.127  0.964

***

[4]
The following is a DFT calculation (SCAN) of SbBr5 at its PBEsol-relaxed geometry.

Output
- Uncorrected formation energy: -0.352 eV per atom
- Space group: Cm

a b c (Å): 4.028 6.869 8.383
angles (deg): 80.61 76.10 72.95
Sites, in units of the cell vectors:
Sb  0.718  0.634  0.930
Br  0.027  0.894  0.052
Br  0.743  0.855  0.658
Br  0.179  0.205  0.437
Br  0.398  0.390  0.814
Br  0.102  0.523  0.274

***

[5]
The following is a DFT calculation (SCAN) of Be2Ru at its PBEsol-relaxed geometry.

Output
- Formation energy: -1.2 eV/f.u.
- Space group: P6/mmm
- Polymorph energy (0 for the lowest one): 0.057 eV per atom

a b c (Å): 2.730 3.482 3.482
angles (deg): 120.00 90.00 90.00
Sites, in units of the cell vectors:
Ru  0.500  0.000  0.000
Be  0.000  0.333  0.667
Be  0.000  0.667  0.333

***

[6]
The following is a DFT calculation (SCAN) of Tm3InC at its PBEsol-relaxed geometry.

Output
- Formation energy: 8.0 eV/f.u.
- Space group: Pm-3m

a b c (Å): 5.419 5.419 5.419
angles (deg): 90.00 90.00 90.00
Sites, in units of the cell vectors:
C  0.000  0.000  0.000
Tm  0.500  0.000  0.500
Tm  0.500  0.500  0.000
Tm  0.000  0.500  0.500
In  0.500  0.500  0.500

***

[7]
The following is a DFT calculation (SCAN) of BaSrTl2 at its PBEsol-relaxed geometry.

Output
- Formation energy: -2.5 eV/f.u.
- Space group: P4/mmm

a b c (Å): 4.091 4.091 8.258
angles (deg): 90.00 90.00 90.00
Sites, in units of the cell vectors:
Sr  0.500  0.500  0.500
Tl  0.000  0.000  0.726
Tl  0.000  0.000  0.274
Ba  0.500  0.500  0.000

***

[8]
The following is a DFT calculation (SCAN) of CaRh2 at its PBEsol-relaxed geometry.

Output
- Formation energy: -0.2 eV/f.u.
- Space group: P6/mmm

a b c (Å): 2.934 4.481 4.481
angles (deg): 120.00 90.00 90.00
Sites, in units of the cell vectors:
Ca  0.500  0.000  0.000
Rh  0.000  0.333  0.667
Rh  0.000  0.667  0.333

***

[9]
The following is a DFT calculation (SCAN) of CrAs2Au at its PBEsol-relaxed geometry.

Output
- Formation energy: 0.3 eV/f.u.
- Space group: Immm
- Polymorph energy (0 for the lowest one): 0.000 eV per atom

a b c (Å): 3.561 4.010 5.908
angles (deg): 109.84 107.54 90.00
Sites, in units of the cell vectors:
As  0.832  0.832  0.663
As  0.168  0.168  0.337
Au  0.000  0.500  0.000
Cr  0.500  0.000  0.000

***

[10]
The following is a DFT calculation (SCAN) of TaTl3Co at its PBEsol-relaxed geometry.

Output
- Formation energy: 6.4 eV/f.u.
- Space group: Pm-3m

a b c (Å): 5.341 5.341 5.341
angles (deg): 90.00 90.00 90.00
Sites, in units of the cell vectors:
Tl  0.000  0.500  0.000
Tl  0.000  0.000  0.500
Tl  0.500  0.000  0.000
Co  0.500  0.500  0.500
Ta  0.000  0.000  0.000

***

[11]
The following is a DFT calculation (SCAN) of MgReAs3 at its PBEsol-relaxed geometry.

Output
- Formation energy: 2.9 eV/f.u.
- Space group: Pm-3m
- Polymorph energy (0 for the lowest one): 0.000 eV per atom

a b c (Å): 4.825 4.825 4.825
angles (deg): 90.00 90.00 90.00
Sites, in units of the cell vectors:
Re  0.000  0.000  0.000
As  0.000  0.500  0.000
As  0.000  0.000  0.500
As  0.500  0.000  0.000
Mg  0.500  0.500  0.500

***

[12]
The following is a DFT calculation (SCAN) of SiRh3 at its PBEsol-relaxed geometry.

Output
- Uncorrected formation energy: -0.455 eV per atom
- Space group: Imm2

a b c (Å): 2.717 4.591 4.988
angles (deg): 117.40 105.81 90.00
Sites, in units of the cell vectors:
Rh  0.723  0.745  0.445
Rh  0.277  0.300  0.555
Rh  0.500  0.113  0.000
Si  0.000  0.675  0.000

***

[13]
The following is a DFT calculation (SCAN) of ScRhAu3 at its PBEsol-relaxed geometry.

Output
- Formation energy: 2.4 eV/f.u.
- Space group: Pm-3m

a b c (Å): 4.868 4.868 4.868
angles (deg): 90.00 90.00 90.00
Sites, in units of the cell vectors:
Sc  0.500  0.500  0.500
Rh  0.000  0.000  0.000
Au  0.000  0.500  0.000
Au  0.000  0.000  0.500
Au  0.500  0.000  0.000

***

Respective density of states at the Fermi level values: 0.0000; 0.6200; 0.5668; 0.0000; 0.4261; 0.2538; 0.5678; 1.1994; 0.4206; 0.7799; 0.5834; 1.0116; 0.9529 states/eV per atom.